(1)
# Sm5Ir2I2 GGA-PBE relaxed
# Uncorrected formation energy   -0.8181 eV per atom
# DOS at the Fermi energy   15.48 states/eV per cell
# Total moment   0.000 μB/atom
data_Sm5Ir2I2
_cell_length_a 8.002
_cell_length_b 7.994
_cell_length_c 9.325
_cell_angle_alpha 115.38
_cell_angle_beta 90.00
_cell_angle_gamma 90.00
_space_group_name_H-M_alt 'P 1'
_space_group_IT_number 1
_space_group_name_Hall 'P 1'
loop_
_atom_site_label
_atom_site_type_symbol
_atom_site_fract_x
_atom_site_fract_y
_atom_site_fract_z
Sm1 Sm 0.155 0.239 0.788
Sm2 Sm 0.500 0.500 0.000
I1 I 0.500 0.713 0.425
Sm3 Sm 0.345 0.952 0.212
Sm4 Sm 0.000 0.000 0.000
Ir1 Ir 0.359 0.143 0.000
Ir2 Ir 0.141 0.643 0.000
Sm5 Sm 0.655 0.261 0.212
Ir3 Ir 0.641 0.857 0.000
Ir4 Ir 0.859 0.357 0.000
Sm6 Sm 0.155 0.452 0.212
Sm7 Sm 0.845 0.761 0.212
I2 I 0.000 0.213 0.425
Sm8 Sm 0.655 0.048 0.788
I3 I 0.500 0.287 0.575
I4 I 0.000 0.787 0.575
Sm9 Sm 0.345 0.739 0.788
Sm10 Sm 0.845 0.548 0.788

(2)
# Pm7Nd12Dy GGA-PBE relaxed
# Energy of formation   0.22 eV per atom
# DOS at the Fermi energy   40.10 states/eV per cell
# Excess energy over the best structure of this formula in the dataset   0 kJ/mol of formula units
# Total moment   0.000 μB/atom
data_Pm7Nd12Dy
_cell_length_a 8.920
_cell_length_b 8.920
_cell_length_c 8.920
_cell_angle_alpha 87.65
_cell_angle_beta 87.65
_cell_angle_gamma 87.65
_space_group_name_H-M_alt 'P 1'
_space_group_IT_number 1
_space_group_name_Hall 'P 1'
loop_
_atom_site_label
_atom_site_type_symbol
_atom_site_fract_x
_atom_site_fract_y
_atom_site_fract_z
Nd1 Nd 0.491 0.615 0.137
Pm1 Pm 0.852 0.608 0.926
Nd2 Nd 0.146 0.745 0.275
Nd3 Nd 0.509 0.385 0.863
Nd4 Nd 0.615 0.137 0.491
Nd5 Nd 0.275 0.146 0.745
Pm2 Pm 0.500 0.500 0.500
Nd6 Nd 0.385 0.863 0.509
Nd7 Nd 0.725 0.854 0.255
Nd8 Nd 0.137 0.491 0.615
Pm3 Pm 0.608 0.926 0.852
Nd9 Nd 0.863 0.509 0.385
Pm4 Pm 0.074 0.148 0.392
Dy1 Dy 0.000 0.000 0.000
Nd10 Nd 0.854 0.255 0.725
Pm5 Pm 0.148 0.392 0.074
Nd11 Nd 0.745 0.275 0.146
Pm6 Pm 0.392 0.074 0.148
Nd12 Nd 0.255 0.725 0.854
Pm7 Pm 0.926 0.852 0.608

(3)
# Ga4Hg2I5 GGA-PBE relaxed
# Uncorrected formation energy   -0.2490 eV per atom
# DOS at the Fermi energy   2.42 states/eV per cell
# Total moment   0.000 μB/atom
data_Ga4Hg2I5
_cell_length_a 4.280
_cell_length_b 9.574
_cell_length_c 10.537
_cell_angle_alpha 83.78
_cell_angle_beta 101.72
_cell_angle_gamma 90.00
_space_group_name_H-M_alt 'P 1'
_space_group_IT_number 1
_space_group_name_Hall 'P 1'
loop_
_atom_site_label
_atom_site_type_symbol
_atom_site_fract_x
_atom_site_fract_y
_atom_site_fract_z
I1 I 0.181 0.902 0.362
Ga1 Ga 0.390 0.212 0.779
I2 I 0.911 0.625 0.821
Ga2 Ga 0.043 0.675 0.087
I3 I 0.089 0.375 0.179
Ga3 Ga 0.957 0.325 0.913
Hg1 Hg 0.300 0.458 0.600
Hg2 Hg 0.700 0.542 0.400
I4 I 0.500 0.000 0.000
I5 I 0.819 0.098 0.638
Ga4 Ga 0.610 0.788 0.221

(4)
# CaCeInSn GGA-PBE relaxed
# Energy of formation   -0.48 eV per atom
# DOS at the Fermi energy   6.77 states/eV per cell
# Excess energy over the best structure of this formula in the dataset   8 kJ/mol of formula units
# Total moment   0.239 μB/atom
data_CaCeInSn
_cell_length_a 5.453
_cell_length_b 5.453
_cell_length_c 5.453
_cell_angle_alpha 60.00
_cell_angle_beta 60.00
_cell_angle_gamma 60.00
_space_group_name_H-M_alt 'P 1'
_space_group_IT_number 1
_space_group_name_Hall 'P 1'
loop_
_atom_site_label
_atom_site_type_symbol
_atom_site_fract_x
_atom_site_fract_y
_atom_site_fract_z
Ca1 Ca 0.500 0.500 0.500
Ce1 Ce 0.000 0.000 0.000
Sn1 Sn 0.250 0.250 0.250
In1 In 0.750 0.750 0.750

(5)
# AcPu6Se8 GGA-PBE relaxed
# Uncorrected formation energy   -1.5568 eV per atom
# DOS at the Fermi energy   63.03 states/eV per cell
# Total moment   2.300 μB/atom
data_AcPu6Se8
_cell_length_a 8.363
_cell_length_b 8.363
_cell_length_c 8.363
_cell_angle_alpha 60.00
_cell_angle_beta 60.00
_cell_angle_gamma 60.00
_space_group_name_H-M_alt 'P 1'
_space_group_IT_number 1
_space_group_name_Hall 'P 1'
loop_
_atom_site_label
_atom_site_type_symbol
_atom_site_fract_x
_atom_site_fract_y
_atom_site_fract_z
Se1 Se 0.739 0.261 0.739
Se2 Se 0.250 0.250 0.250
Pu1 Pu 0.500 0.000 0.000
Pu2 Pu 0.000 0.500 0.500
Se3 Se 0.261 0.261 0.739
Pu3 Pu 0.000 0.500 0.000
Se4 Se 0.739 0.261 0.261
Pu4 Pu 0.500 0.000 0.500
Se5 Se 0.750 0.750 0.750
Pu5 Pu 0.000 0.000 0.500
Se6 Se 0.261 0.739 0.261
Se7 Se 0.261 0.739 0.739
Pu6 Pu 0.500 0.500 0.000
Ac1 Ac 0.000 0.000 0.000
Se8 Se 0.739 0.739 0.261

(6)
# TlCrBS2 GGA-PBE relaxed
# Uncorrected formation energy   1.2807 eV per atom
# DOS at the Fermi energy   5.25 states/eV per cell
# Total moment   0.030 μB/atom
data_TlCrBS2
_cell_length_a 4.194
_cell_length_b 4.830
_cell_length_c 4.194
_cell_angle_alpha 90.00
_cell_angle_beta 90.00
_cell_angle_gamma 90.00
_space_group_name_H-M_alt 'P 1'
_space_group_IT_number 1
_space_group_name_Hall 'P 1'
loop_
_atom_site_label
_atom_site_type_symbol
_atom_site_fract_x
_atom_site_fract_y
_atom_site_fract_z
S1 S 0.000 0.000 0.500
Cr1 Cr 0.500 0.500 0.500
S2 S 0.500 0.000 0.000
B1 B 0.000 0.000 0.000
Tl1 Tl 0.000 0.500 0.000

(7)
# Cs2Er2US6 GGA-PBE relaxed
# Uncorrected formation energy   -1.7427 eV per atom
# DOS at the Fermi energy   6.94 states/eV per cell
# Total moment   0.182 μB/atom
data_Cs2Er2US6
_cell_length_a 6.960
_cell_length_b 6.960
_cell_length_c 8.582
_cell_angle_alpha 97.93
_cell_angle_beta 97.93
_cell_angle_gamma 120.04
_space_group_name_H-M_alt 'P 1'
_space_group_IT_number 1
_space_group_name_Hall 'P 1'
loop_
_atom_site_label
_atom_site_type_symbol
_atom_site_fract_x
_atom_site_fract_y
_atom_site_fract_z
S1 S 0.390 0.059 0.676
Er1 Er 0.667 0.333 0.500
Cs1 Cs 0.832 0.168 0.000
Er2 Er 0.333 0.667 0.500
Cs2 Cs 0.168 0.832 0.000
S2 S 0.059 0.390 0.676
S3 S 0.270 0.270 0.324
S4 S 0.610 0.941 0.324
U1 U 0.000 0.000 0.500
S5 S 0.730 0.730 0.676
S6 S 0.941 0.610 0.324

(8)
# Hg2PdPb GGA-PBE relaxed
# Energy of formation   0.24 eV per atom
# DOS at the Fermi energy   1.93 states/eV per cell
# Total moment   0.000 μB/atom
data_Hg2PdPb
_cell_length_a 3.188
_cell_length_b 3.188
_cell_length_c 11.541
_cell_angle_alpha 82.06
_cell_angle_beta 82.06
_cell_angle_gamma 60.00
_space_group_name_H-M_alt 'P 1'
_space_group_IT_number 1
_space_group_name_Hall 'P 1'
loop_
_atom_site_label
_atom_site_type_symbol
_atom_site_fract_x
_atom_site_fract_y
_atom_site_fract_z
Hg1 Hg 0.921 0.921 0.236
Pd1 Pd 0.000 0.000 0.000
Hg2 Hg 0.079 0.079 0.764
Pb1 Pb 0.500 0.500 0.500